# U3N4 (PBE, relaxed)
# **Energy**: -10.5546 eV per atom
# **Size of the total moment**: 3.544 μB per formula unit
# **Theoretical density**: 12.39 g cm⁻³
data_U3N4
_cell_length_a 4.6913
_cell_length_b 4.6913
_cell_length_c 4.6913
_cell_angle_alpha 90.00
_cell_angle_beta 90.00
_cell_angle_gamma 90.00
_symmetry_space_group_name_H-M 'P m -3 m'
_symmetry_Int_Tables_number 221
_symmetry_space_group_name_Hall '-P 4 2 3'
loop_
_atom_site_label
_atom_site_type_symbol
_atom_site_fract_x
_atom_site_fract_y
_atom_site_fract_z
U1 U 0.0000 0.0000 0.5000
N1 N 0.0000 0.0000 0.0000
N2 N 0.0000 0.5000 0.5000